[1]
DFT (PBE) results for Be3VAs after structural relaxation.

- relative energy among the computed polymorphs (meV/atom) = 355
- DOS at the Fermi energy (states/eV/f.u.) = 4.456
- energy of formation (eV per atom) = 1.445

abc: 4.270 4.270 4.270
angles: 90.00 90.00 90.00
Positions (direct):
V 0.000 0.000 0.000
Be 0.000 0.000 0.500
Be 0.500 0.000 0.000
Be 0.000 0.500 0.000
As 0.500 0.500 0.500

=====

[2]
DFT (PBE) results for Be3VAs after structural relaxation.

- relative energy among the computed polymorphs (meV/atom) = 0
- DOS at the Fermi energy (states/eV/f.u.) = 4.265
- energy of formation (eV per atom) = 1.090

abc: 4.219 4.219 4.219
angles: 90.00 90.00 90.00
Positions (direct):
V 0.500 0.500 0.500
Be 0.500 0.000 0.000
Be 0.000 0.500 0.000
Be 0.000 0.000 0.500
As 0.000 0.000 0.000